[1]
A relaxed structure of ZrSc2AlO. Source: Alexandria via LeMat-Bulk, functional GGA-PBE.

Geometry as CIF:
```
data_ZrSc2AlO
_cell_length_a 4.318
_cell_length_b 4.318
_cell_length_c 4.600
_cell_angle_alpha 90.00
_cell_angle_beta 90.00
_cell_angle_gamma 90.00
_symmetry_space_group_name_H-M 'P 1'
_symmetry_Int_Tables_number 1
loop_
_symmetry_equiv_pos_as_xyz
'x,y,z'
loop_
_atom_site_label
_atom_site_fract_x
_atom_site_fract_y
_atom_site_fract_z
Zr1 0.000 0.000 0.000
Sc1 0.000 0.500 0.500
Sc2 0.500 0.000 0.500
Al1 0.500 0.500 0.000
O1 0.000 0.000 0.500
```

Properties
The magnetization comes out at 0.00 Bohr magnetons per cell. For the calculated density, the calculation gives 4.34 g/cm³. The calculation puts the energy relative to the elements, uncorrected at -1.38 eV per atom.

[2]
A relaxed structure of Y2MnNi3P4. Source: Alexandria via LeMat-Bulk, functional GGA-PBE.

Geometry as CIF:
```
data_Y2MnNi3P4
_cell_length_a 3.947
_cell_length_b 3.947
_cell_length_c 9.229
_cell_angle_alpha 90.00
_cell_angle_beta 90.00
_cell_angle_gamma 90.00
_symmetry_space_group_name_H-M 'P 1'
_symmetry_Int_Tables_number 1
loop_
_symmetry_equiv_pos_as_xyz
'x,y,z'
loop_
_atom_site_label
_atom_site_fract_x
_atom_site_fract_y
_atom_site_fract_z
Y1 0.000 0.500 0.243
Y2 0.500 0.000 0.757
Mn1 0.000 0.000 0.500
Ni1 0.000 0.500 0.881
Ni2 0.500 0.000 0.119
Ni3 0.500 0.500 0.500
P1 0.000 0.000 0.000
P2 0.000 0.500 0.632
P3 0.500 0.000 0.368
P4 0.500 0.500 0.000
```

Properties
The calculation puts the energy relative to the elements at -933.9 meV per atom. The magnetization comes out at 0.00 Bohr magnetons per cell. For the calculated density, the calculation gives 6.15 g/cm³.

[3]
A relaxed structure of Rb2TaCuCl6. Source: Alexandria via LeMat-Bulk, functional GGA-PBE.

Geometry as CIF:
```
data_Rb2TaCuCl6
_cell_length_a 7.128
_cell_length_b 7.128
_cell_length_c 7.128
_cell_angle_alpha 114.01
_cell_angle_beta 114.01
_cell_angle_gamma 100.73
_symmetry_space_group_name_H-M 'P 1'
_symmetry_Int_Tables_number 1
loop_
_symmetry_equiv_pos_as_xyz
'x,y,z'
loop_
_atom_site_label
_atom_site_fract_x
_atom_site_fract_y
_atom_site_fract_z
Rb1 0.250 0.750 0.500
Rb2 0.750 0.250 0.500
Ta1 0.000 0.000 0.000
Cu1 0.500 0.500 0.000
Cl1 0.226 0.226 0.453
Cl2 0.226 0.774 0.000
Cl3 0.268 0.268 0.000
Cl4 0.732 0.732 0.000
Cl5 0.774 0.226 0.000
Cl6 0.774 0.774 0.547
```

Properties
The magnetization comes out at 2.00 Bohr magnetons per cell. Its offset from the most stable computed form is 0.036 eV/f.u. For the calculated density, the calculation gives 3.81 g/cm³. The calculation puts the energy relative to the elements, uncorrected at -1.22 eV per atom.

[4]
A relaxed structure of NaUSe2. Source: Alexandria via LeMat-Bulk, functional GGA-PBE.

Geometry as CIF:
```
data_NaUSe2
_cell_length_a 7.760
_cell_length_b 7.760
_cell_length_c 7.760
_cell_angle_alpha 30.37
_cell_angle_beta 30.37
_cell_angle_gamma 30.37
_symmetry_space_group_name_H-M 'P 1'
_symmetry_Int_Tables_number 1
loop_
_symmetry_equiv_pos_as_xyz
'x,y,z'
loop_
_atom_site_label
_atom_site_fract_x
_atom_site_fract_y
_atom_site_fract_z
Na1 0.000 0.000 0.000
U1 0.830 0.830 0.830
Se1 0.240 0.240 0.240
Se2 0.419 0.419 0.419
```

Properties
The magnetization comes out at 3.00 Bohr magnetons per cell. For the calculated density, the calculation gives 6.57 g/cm³. The calculation puts the energy relative to the elements, uncorrected at -1.16 eV per atom.

[5]
A relaxed structure of Hf2NiAs. Source: Alexandria via LeMat-Bulk, functional GGA-PBE.

Geometry as CIF:
```
data_Hf2NiAs
_cell_length_a 8.638
_cell_length_b 8.638
_cell_length_c 8.638
_cell_angle_alpha 22.72
_cell_angle_beta 22.72
_cell_angle_gamma 22.72
_symmetry_space_group_name_H-M 'P 1'
_symmetry_Int_Tables_number 1
loop_
_symmetry_equiv_pos_as_xyz
'x,y,z'
loop_
_atom_site_label
_atom_site_fract_x
_atom_site_fract_y
_atom_site_fract_z
Hf1 0.098 0.098 0.098
Hf2 0.902 0.902 0.902
Ni1 0.000 0.000 0.000
As1 0.500 0.500 0.500
```

Properties
The calculation puts the energy relative to the elements at 258.3 meV per atom. The magnetization comes out at 0.00 Bohr magnetons per cell. For the calculated density, the calculation gives 9.65 g/cm³.

[6]
A relaxed structure of Sm2Ga4SiPt3. Source: Alexandria via LeMat-Bulk, functional GGA-PBE.

Geometry as CIF:
```
data_Sm2Ga4SiPt3
_cell_length_a 4.209
_cell_length_b 4.209
_cell_length_c 10.739
_cell_angle_alpha 90.00
_cell_angle_beta 90.00
_cell_angle_gamma 90.00
_symmetry_space_group_name_H-M 'P 1'
_symmetry_Int_Tables_number 1
loop_
_symmetry_equiv_pos_as_xyz
'x,y,z'
loop_
_atom_site_label
_atom_site_fract_x
_atom_site_fract_y
_atom_site_fract_z
Sm1 0.000 0.500 0.249
Sm2 0.500 0.000 0.751
Ga1 0.000 0.000 0.000
Ga2 0.000 0.500 0.637
Ga3 0.500 0.000 0.363
Ga4 0.500 0.500 0.000
Si1 0.000 0.000 0.500
Pt1 0.000 0.500 0.866
Pt2 0.500 0.000 0.134
Pt3 0.500 0.500 0.500
```

Properties
The magnetization comes out at 0.00 Bohr magnetons per cell. For the calculated density, the calculation gives 10.41 g/cm³. The calculation puts the energy relative to the elements, uncorrected at -0.84 eV per atom.

[7]
A relaxed structure of Rb2CuRu. Source: Alexandria via LeMat-Bulk, functional GGA-PBE.

Geometry as CIF:
```
data_Rb2CuRu
_cell_length_a 5.862
_cell_length_b 5.862
_cell_length_c 5.862
_cell_angle_alpha 60.00
_cell_angle_beta 60.00
_cell_angle_gamma 60.00
_symmetry_space_group_name_H-M 'P 1'
_symmetry_Int_Tables_number 1
loop_
_symmetry_equiv_pos_as_xyz
'x,y,z'
loop_
_atom_site_label
_atom_site_fract_x
_atom_site_fract_y
_atom_site_fract_z
Rb1 0.250 0.250 0.250
Rb2 0.750 0.750 0.750
Cu1 0.000 0.000 0.000
Ru1 0.500 0.500 0.500
```

Properties
The calculation puts the energy relative to the elements at 1424.9 meV per atom. The magnetization comes out at 2.90 Bohr magnetons per cell. Its offset from the most stable computed form is 1.543 eV/f.u. For the calculated density, the calculation gives 3.91 g/cm³.

[8]
A relaxed structure of YHICl. Source: Alexandria via LeMat-Bulk, functional GGA-PBE.

Geometry as CIF:
```
data_YHICl
_cell_length_a 3.892
_cell_length_b 3.892
_cell_length_c 8.086
_cell_angle_alpha 104.03
_cell_angle_beta 104.03
_cell_angle_gamma 60.00
_symmetry_space_group_name_H-M 'P 1'
_symmetry_Int_Tables_number 1
loop_
_symmetry_equiv_pos_as_xyz
'x,y,z'
loop_
_atom_site_label
_atom_site_fract_x
_atom_site_fract_y
_atom_site_fract_z
Y1 0.000 0.000 0.000
H1 0.336 0.336 0.007
I1 0.761 0.761 0.280
Cl1 0.593 0.593 0.781
```

Properties
The magnetization comes out at 0.00 Bohr magnetons per cell. For the calculated density, the calculation gives 4.11 g/cm³. For the energy, the calculation gives -19.1 eV per cell.

[9]
A relaxed structure of Cu4BiPb. Source: Alexandria via LeMat-Bulk, functional GGA-PBE.

Geometry as CIF:
```
data_Cu4BiPb
_cell_length_a 5.298
_cell_length_b 5.298
_cell_length_c 5.298
_cell_angle_alpha 60.00
_cell_angle_beta 60.00
_cell_angle_gamma 60.00
_symmetry_space_group_name_H-M 'P 1'
_symmetry_Int_Tables_number 1
loop_
_symmetry_equiv_pos_as_xyz
'x,y,z'
loop_
_atom_site_label
_atom_site_fract_x
_atom_site_fract_y
_atom_site_fract_z
Cu1 0.125 0.125 0.125
Cu2 0.125 0.125 0.625
Cu3 0.125 0.625 0.125
Cu4 0.625 0.125 0.125
Bi1 0.500 0.500 0.500
Pb1 0.750 0.750 0.750
```

Properties
The calculation puts the energy relative to the elements at 144.8 meV per atom. The magnetization comes out at 0.00 Bohr magnetons per cell. For the calculated density, the calculation gives 10.59 g/cm³.

[10]
A relaxed structure of PmPrSmGd. Source: Alexandria via LeMat-Bulk, functional GGA-PBE.

Geometry as CIF:
```
data_PmPrSmGd
_cell_length_a 5.798
_cell_length_b 5.798
_cell_length_c 5.798
_cell_angle_alpha 60.00
_cell_angle_beta 60.00
_cell_angle_gamma 60.00
_symmetry_space_group_name_H-M 'P 1'
_symmetry_Int_Tables_number 1
loop_
_symmetry_equiv_pos_as_xyz
'x,y,z'
loop_
_atom_site_label
_atom_site_fract_x
_atom_site_fract_y
_atom_site_fract_z
Pm1 0.000 0.000 0.000
Pr1 0.500 0.500 0.500
Sm1 0.750 0.750 0.750
Gd1 0.250 0.250 0.250
```

Properties
The calculation puts the energy relative to the elements at 117.1 meV per atom. The magnetization comes out at 8.79 Bohr magnetons per cell. For the calculated density, the calculation gives 7.15 g/cm³.

[11]
A relaxed structure of NaAlC2O6. Source: Alexandria via LeMat-Bulk, functional GGA-PBE.

Geometry as CIF:
```
data_NaAlC2O6
_cell_length_a 5.989
_cell_length_b 5.989
_cell_length_c 5.989
_cell_angle_alpha 46.05
_cell_angle_beta 46.05
_cell_angle_gamma 46.05
_symmetry_space_group_name_H-M 'P 1'
_symmetry_Int_Tables_number 1
loop_
_symmetry_equiv_pos_as_xyz
'x,y,z'
loop_
_atom_site_label
_atom_site_fract_x
_atom_site_fract_y
_atom_site_fract_z
Na1 0.000 0.000 0.000
Al1 0.500 0.500 0.500
C1 0.234 0.234 0.234
C2 0.766 0.766 0.766
O1 0.062 0.713 0.517
O2 0.287 0.483 0.938
O3 0.483 0.938 0.287
O4 0.517 0.062 0.713
O5 0.713 0.517 0.062
O6 0.938 0.287 0.483
```

Properties
The magnetization comes out at 0.00 Bohr magnetons per cell. For the calculated density, the calculation gives 2.78 g/cm³. The calculation puts the energy relative to the elements, uncorrected at -1.91 eV per atom.

[12]
A relaxed structure of Zn2InBr. Source: Alexandria via LeMat-Bulk, functional GGA-PBE.

Geometry as CIF:
```
data_Zn2InBr
_cell_length_a 5.429
_cell_length_b 5.429
_cell_length_c 6.826
_cell_angle_alpha 122.09
_cell_angle_beta 122.09
_cell_angle_gamma 39.42
_symmetry_space_group_name_H-M 'P 1'
_symmetry_Int_Tables_number 1
loop_
_symmetry_equiv_pos_as_xyz
'x,y,z'
loop_
_atom_site_label
_atom_site_fract_x
_atom_site_fract_y
_atom_site_fract_z
Zn1 0.237 0.237 0.349
Zn2 0.763 0.763 0.651
In1 0.000 0.000 0.500
Br1 0.500 0.500 0.000
```

Properties
The magnetization comes out at 0.00 Bohr magnetons per cell. Its offset from the most stable computed form is 0.461 eV/f.u. For the calculated density, the calculation gives 5.13 g/cm³. The calculation puts the energy relative to the elements, uncorrected at -0.03 eV per atom.

> What is the formula in the tenth record?

PmPrSmGd

> Among the records above, which one has the highest magnetization?

PmPrSmGd